Zr2ScCl | PBE | relaxed

Cell and atoms, written as POSCAR:
```
Zr2ScCl
1.0
5.349 0.000 0.009
4.391 3.054 0.009
2.241 0.703 5.297
Zr Sc Cl
2 1 1
Cartesian
9.649 3.026 4.243
2.483 0.779 5.156
2.751 0.863 1.799
5.329 1.671 2.071
```

E_form (uncorrected) ... -0.316 eV/atom
Volume ... 86 Å³ per cell
M_tot ... 0.000 μB/atom
Energy above the most stable polymorph in this dataset ... 0.64 eV per formula unit
Symmetry ... Cm (8)
Crystal system ... monoclinic
VASP energy ... -6.63 eV per atom


Zr2ScCl | PBE | relaxed

Cell and atoms, written as POSCAR:
```
Zr2ScCl
1.0
-0.561 -3.853 3.190
5.939 1.073 -1.640
1.196 1.799 2.365
Zr Cl Sc
2 1 1
Cartesian
0.000 0.000 0.000
0.318 -1.027 2.777
3.568 1.436 0.363
2.689 -1.390 0.775
```

E_form (uncorrected) ... -0.038 eV/atom
Volume ... 89 Å³ per cell
M_tot ... 0.023 μB/atom
Energy above the most stable polymorph in this dataset ... 1.75 eV per formula unit
Symmetry ... C2/m (12)
Crystal system ... monoclinic
VASP energy ... -6.36 eV per atom


Zr2ScCl | PBE | relaxed

Cell and atoms, written as POSCAR:
```
Zr2ScCl
1.0
-0.630 1.989 -2.477
-2.296 -2.131 0.821
-3.669 6.246 5.947
Cl Sc Zr
1 1 2
Cartesian
-1.863 3.172 3.020
-4.144 4.492 3.517
-3.659 6.229 5.931
-2.433 1.580 0.744
```

E_form (uncorrected) ... -0.394 eV/atom
Volume ... 87 Å³ per cell
M_tot ... 0.000 μB/atom
Energy above the most stable polymorph in this dataset ... 0.33 eV per formula unit
Symmetry ... Cmm2 (35)
Crystal system ... orthorhombic
VASP energy ... -6.71 eV per atom


Zr4ScCl | PBE | relaxed

Cell and atoms, written as POSCAR:
```
Zr4ScCl
1.0
0.000 4.199 4.199
4.199 0.000 4.199
4.199 4.199 0.000
Sc Zr Cl
1 4 1
Cartesian
0.000 0.000 0.000
3.113 3.113 3.113
5.286 3.113 5.286
5.286 5.286 3.113
3.113 5.286 5.286
6.299 6.299 6.299
```

E_form (uncorrected) ... 0.416 eV/atom
Volume ... 148 Å³ per cell
M_tot ... 0.000 μB/atom
Symmetry ... F-43m (216)
Crystal system ... cubic
VASP energy ... -6.65 eV per atom